{"formula": "TmRe6", "functional": "PBE", "state": "optimized geometry", "lattice": [[8.466, 0.000, 0.000], [0.000, 5.211, 0.000], [0.000, 0.000, 10.845]], "species": ["Tm", "Tm", "Tm", "Tm", "Re", "Re", "Re", "Re", "Re", "Re", "Re", "Re", "Re", "Re", "Re", "Re", "Re", "Re", "Re", "Re", "Re", "Re", "Re", "Re", "Re", "Re", "Re", "Re"], "frac_coords": [[0.233, 0.250, 0.056], [0.267, 0.750, 0.556], [0.733, 0.250, 0.444], [0.767, 0.750, 0.944], [0.073, 0.008, 0.307], [0.073, 0.492, 0.307], [0.082, 0.250, 0.521], [0.082, 0.750, 0.081], [0.139, 0.750, 0.850], [0.181, 0.250, 0.757], [0.319, 0.750, 0.257], [0.361, 0.250, 0.350], [0.418, 0.250, 0.581], [0.418, 0.750, 0.021], [0.427, 0.508, 0.807], [0.427, 0.992, 0.807], [0.573, 0.008, 0.193], [0.573, 0.492, 0.193], [0.582, 0.250, 0.979], [0.582, 0.750, 0.419], [0.639, 0.750, 0.650], [0.681, 0.250, 0.743], [0.819, 0.750, 0.243], [0.861, 0.250, 0.150], [0.918, 0.250, 0.919], [0.918, 0.750, 0.479], [0.927, 0.508, 0.693], [0.927, 0.992, 0.693]], "ef_ev_per_atom": 0.01}